GGA-PBE NaLaMgTl, relaxed; symmetry = F-43m, No. 216; ΔE_f = -142 meV/atom
1.0
7.630 0.000 0.000
0.000 7.630 0.000
0.000 0.000 7.630
Na La Mg Tl
4 4 4 4
Cartesian
0.000 0.000 0.000 Na
0.000 3.815 3.815 Na
3.815 0.000 3.815 Na
3.815 3.815 0.000 Na
1.908 1.908 1.908 La
1.908 5.723 5.723 La
5.723 1.908 5.723 La
5.723 5.723 1.908 La
1.908 1.908 5.723 Mg
1.908 5.723 1.908 Mg
5.723 1.908 1.908 Mg
5.723 5.723 5.723 Mg
0.000 0.000 3.815 Tl
0.000 3.815 0.000 Tl
3.815 0.000 0.000 Tl
3.815 3.815 3.815 Tl


GGA-PBE TbHo2Mg8, relaxed; symmetry = C2/m, No. 12; ΔE_f = -34 meV/atom
1.0
7.955 -2.514 0.000
7.955 2.514 0.000
-2.367 0.000 6.943
Tb Ho Mg
1 2 8
Cartesian
0.000 0.000 0.000 Tb
3.564 0.000 2.513 Ho
9.979 0.000 4.430 Ho
0.317 0.000 3.230 Mg
0.710 0.000 6.221 Mg
3.704 0.000 5.872 Mg
6.854 0.000 1.955 Mg
6.688 0.000 4.988 Mg
9.839 0.000 1.071 Mg
12.832 0.000 0.722 Mg
13.225 0.000 3.713 Mg


GGA-PBE BeCuO3, relaxed; symmetry = Pm-3m, No. 221; DFT total energy = -4.40 eV/atom
1.0
3.627 0.000 0.000
0.000 3.627 0.000
0.000 0.000 3.627
Be Cu O
1 1 3
Cartesian
0.000 0.000 0.000 Be
1.813 1.813 1.813 Cu
0.000 1.813 1.813 O
1.813 0.000 1.813 O
1.813 1.813 0.000 O


GGA-PBE ErB2Os, relaxed; symmetry = R-3m, No. 166; ΔE_f = -284 meV/atom
1.0
3.656 0.000 0.000
-1.828 3.166 0.000
0.000 0.000 13.891
Er B Os
3 6 3
Cartesian
0.000 0.000 0.000 Er
0.000 2.111 9.261 Er
1.828 1.055 4.630 Er
0.000 0.000 2.897 B
0.000 0.000 10.995 B
0.000 2.111 6.364 B
0.000 2.111 12.158 B
1.828 1.055 1.734 B
1.828 1.055 7.527 B
0.000 0.000 6.946 Os
0.000 2.111 2.315 Os
1.828 1.055 11.576 Os


GGA-PBE RbCrIr2, relaxed; symmetry = Fm-3m, No. 225; ΔE_f = 1623 meV/atom
1.0
6.524 0.000 0.000
0.000 6.524 0.000
0.000 0.000 6.524
Rb Cr Ir
4 4 8
Cartesian
0.000 0.000 0.000 Rb
0.000 3.262 3.262 Rb
3.262 0.000 3.262 Rb
3.262 3.262 0.000 Rb
0.000 0.000 3.262 Cr
0.000 3.262 0.000 Cr
3.262 0.000 0.000 Cr
3.262 3.262 3.262 Cr
1.631 1.631 1.631 Ir
1.631 1.631 4.893 Ir
1.631 4.893 1.631 Ir
1.631 4.893 4.893 Ir
4.893 1.631 1.631 Ir
4.893 1.631 4.893 Ir
4.893 4.893 1.631 Ir
4.893 4.893 4.893 Ir


GGA-PBE Sr2SiNiTe, relaxed; symmetry = P4/mmm, No. 123; DFT total energy = -4.22 eV/atom
1.0
5.816 0.000 0.000
0.000 5.816 0.000
0.000 0.000 4.295
Sr Si Ni Te
2 1 1 1
Cartesian
0.000 2.908 0.000 Sr
2.908 0.000 0.000 Sr
0.000 0.000 2.147 Si
0.000 0.000 0.000 Ni
2.908 2.908 2.147 Te


GGA-PBE SrCd3Fe, relaxed; symmetry = Pm-3m, No. 221; ΔE_f = 1270 meV/atom
1.0
6.243 0.000 0.000
0.000 6.243 0.000
0.000 0.000 6.243
Sr Cd Fe
1 3 1
Cartesian
0.000 0.000 0.000 Sr
0.000 0.000 3.122 Cd
0.000 3.122 0.000 Cd
3.122 0.000 0.000 Cd
3.122 3.122 3.122 Fe


GGA-PBE CeTmPtAu, relaxed; symmetry = F-43m, No. 216; ΔE_f = -912 meV/atom
1.0
7.146 0.000 0.000
0.000 7.146 0.000
0.000 0.000 7.146
Ce Tm Pt Au
4 4 4 4
Cartesian
0.000 0.000 0.000 Ce
0.000 3.573 3.573 Ce
3.573 0.000 3.573 Ce
3.573 3.573 0.000 Ce
0.000 0.000 3.573 Tm
0.000 3.573 0.000 Tm
3.573 0.000 0.000 Tm
3.573 3.573 3.573 Tm
1.787 1.787 5.360 Pt
1.787 5.360 1.787 Pt
5.360 1.787 1.787 Pt
5.360 5.360 5.360 Pt
1.787 1.787 1.787 Au
1.787 5.360 5.360 Au
5.360 1.787 5.360 Au
5.360 5.360 1.787 Au